Material: SrNdSi4Os2
Method: DFT, GGA-PBE
State: relaxed

**SG**: Pm
**Raw total energy**: -0.2543 hartree per atom

Structure (POSCAR):
```
SrNdSi4Os2
1.0
-0.8453 -0.1025 4.4796
-3.4131 -2.2146 -0.6947
4.6574 -6.8425 -1.0686
Os Si Sr Nd
2 4 1 1
Direct
0.1197 0.0000 0.8851 Os
0.8771 0.5000 0.1107 Os
0.0401 0.0000 0.5938 Si
0.3309 0.5000 0.0048 Si
0.9618 0.5000 0.4083 Si
0.6664 0.0000 0.9924 Si
0.4161 0.0000 0.3027 Sr
0.5880 0.5000 0.7021 Nd
```

Material: NdTmSi2Os
Method: DFT, GGA-PBE
State: relaxed

**SG**: C2/m
**Distance to the lowest polymorph of the same formula**: 0.17 eV per formula unit

Structure (POSCAR):
```
NdTmSi2Os
1.0
-1.4522 2.4390 -5.2280
-4.8052 0.5495 -3.4637
0.8107 6.0813 8.0536
Os Tm Nd Si
2 2 2 4
Direct
0.7255 0.7255 0.8717 Os
0.2745 0.2745 0.1283 Os
0.8238 0.8238 0.3907 Tm
0.1762 0.1762 0.6093 Tm
0.0169 0.0169 0.1833 Nd
0.9831 0.9831 0.8167 Nd
0.6548 0.6548 0.0642 Si
0.5014 0.5014 0.6240 Si
0.3452 0.3452 0.9358 Si
0.4986 0.4986 0.3760 Si
```

Material: NdTmSi2Os
Method: DFT, GGA-PBE
State: relaxed

**SG**: C2/m
**Distance to the lowest polymorph of the same formula**: 0.00 eV per formula unit

Structure (POSCAR):
```
NdTmSi2Os
1.0
-1.5468 0.9660 5.4493
-4.9263 0.6329 2.8899
2.6644 -9.4863 -2.2835
Si Os Nd Tm
4 2 2 2
Direct
0.5015 0.5015 0.6313 Si
0.6433 0.6433 0.0595 Si
0.3567 0.3567 0.9405 Si
0.4985 0.4985 0.3687 Si
0.2681 0.2681 0.1230 Os
0.7319 0.7319 0.8770 Os
0.1909 0.1909 0.6093 Nd
0.8091 0.8091 0.3907 Nd
0.9984 0.9984 0.8269 Tm
0.0016 0.0016 0.1731 Tm
```

Material: NdTmSi4Os2
Method: DFT, GGA-PBE
State: relaxed

**SG**: Pm
**Raw total energy**: -0.2716 hartree per atom

Structure (POSCAR):
```
NdTmSi4Os2
1.0
4.4452 0.0000 0.0000
0.0000 4.1084 0.0000
-1.6950 0.0000 7.9915
Si Os Nd Tm
4 2 1 1
Direct
0.3377 0.5000 0.0083 Si
0.0375 0.0000 0.5894 Si
0.6669 0.0000 0.9973 Si
0.9628 0.5000 0.4095 Si
0.8871 0.5000 0.1174 Os
0.1191 0.0000 0.8871 Os
0.5843 0.5000 0.6981 Nd
0.4047 0.0000 0.2929 Tm
```